(1)
Below is an optimized crystal structure of Na2Li5Tl2Cd, with properties calculated at the PBE level.

Lattice parameters (Å, degrees): 11.644 11.644 3.450 90.00 90.00 90.00
Element x y z (fractional)
Na 0.170 0.330 0.000
Na 0.330 0.830 0.000
Na 0.670 0.170 0.000
Na 0.830 0.670 0.000
Li 0.000 0.500 0.500
Li 0.057 0.812 0.500
Li 0.188 0.057 0.500
Li 0.312 0.557 0.500
Li 0.443 0.312 0.500
Li 0.500 0.000 0.500
Li 0.557 0.688 0.500
Li 0.688 0.443 0.500
Li 0.812 0.943 0.500
Li 0.943 0.188 0.500
Tl 0.134 0.634 0.000
Tl 0.366 0.134 0.000
Tl 0.634 0.866 0.000
Tl 0.866 0.366 0.000
Cd 0.000 0.000 0.000
Cd 0.500 0.500 0.000

Results
- Mass density: 4.27 Mg/m³
- Space group: P4/mbm
- Magnetization: 0.000 μB per formula unit
- Energy relative to the elements: -123.1 meV/atom
- VASP energy: -1.9086 eV per atom



(2)
Below is an optimized crystal structure of NaLiTmCd, with properties calculated at the PBE level.

Lattice parameters (Å, degrees): 5.196 5.196 5.196 60.00 60.00 60.00
Element x y z (fractional)
Na 0.000 0.000 0.000
Li 0.250 0.250 0.250
Tm 0.500 0.500 0.500
Cd 0.750 0.750 0.750

Results
- Mass density: 5.21 Mg/m³
- Space group: F-43m
- Magnetization: 0.000 μB per formula unit
- Energy relative to the elements: 69.4 meV/atom
- VASP energy: -2.0855 eV per atom



(3)
Below is an optimized crystal structure of NaLiYCd, with properties calculated at the PBE level.

Lattice parameters (Å, degrees): 5.234 5.234 5.234 60.00 60.00 60.00
Element x y z (fractional)
Na 0.000 0.000 0.000
Li 0.750 0.750 0.750
Y 0.500 0.500 0.500
Cd 0.250 0.250 0.250

Results
- Mass density: 3.79 Mg/m³
- Space group: F-43m
- Magnetization: 0.000 μB per formula unit
- Energy relative to the elements: 26.6 meV/atom
- VASP energy: -2.6264 eV per atom



(4)
Below is an optimized crystal structure of Na2LiZn3Cd12, with properties calculated at the PBE level.

Lattice parameters (Å, degrees): 7.506 7.506 7.506 84.17 84.17 84.17
Element x y z (fractional)
Na 0.113 0.113 0.113
Na 0.887 0.887 0.887
Li 0.500 0.500 0.500
Zn 0.000 0.500 0.500
Zn 0.500 0.000 0.500
Zn 0.500 0.500 0.000
Cd 0.122 0.122 0.553
Cd 0.122 0.553 0.122
Cd 0.209 0.695 0.695
Cd 0.305 0.305 0.791
Cd 0.305 0.791 0.305
Cd 0.447 0.878 0.878
Cd 0.553 0.122 0.122
Cd 0.695 0.209 0.695
Cd 0.695 0.695 0.209
Cd 0.791 0.305 0.305
Cd 0.878 0.447 0.878
Cd 0.878 0.878 0.447

Results
- Mass density: 6.37 Mg/m³
- Space group: R-3m
- Magnetization: 0.000 μB per formula unit
- Energy relative to the elements: 55.9 meV/atom
- VASP energy: -1.0194 eV per atom



(5)
Below is an optimized crystal structure of NaLiZnCd2, with properties calculated at the PBE level.

Lattice parameters (Å, degrees): 5.075 5.075 5.043 90.00 90.00 90.00
Element x y z (fractional)
Na 0.000 0.000 0.000
Li 0.500 0.500 0.000
Zn 0.500 0.500 0.500
Cd 0.000 0.500 0.500
Cd 0.500 0.000 0.500

Results
- Mass density: 4.09 Mg/m³
- Space group: P4/mmm
- Magnetization: 0.000 μB per formula unit
- Energy relative to the elements: 60.3 meV/atom
- VASP energy: -1.2071 eV per atom



(6)
Below is an optimized crystal structure of NaLi2ZnCd, with properties calculated at the PBE level.

Lattice parameters (Å, degrees): 4.913 4.913 5.391 90.00 90.00 90.00
Element x y z (fractional)
Na 0.000 0.000 0.000
Li 0.000 0.500 0.500
Li 0.500 0.000 0.500
Zn 0.000 0.000 0.500
Cd 0.500 0.500 0.000

Results
- Mass density: 2.74 Mg/m³
- Space group: P4/mmm
- Magnetization: 0.000 μB per formula unit
- Energy relative to the elements: 201.3 meV/atom
- VASP energy: -1.2658 eV per atom